(1)
The following is a DFT calculation (PBE) of a relaxed DyTm2 crystal.

The energy above the most stable polymorph in this dataset comes out at 280.9 meV per atom. The value obtained for the formation energy is 0.28 eV/atom. The value obtained for the volume is 768.8 Å³/cell.

The structure belongs to space group Fd-3m (No. 227, origin choice 2); the cell edges are 9.161, 9.161 and 9.161 Å and the angles 90.00°, 90.00° and 90.00°. The asymmetric unit holds Dy at (0.125, 0.125, 0.125) and Tm at (0.000, 0.000, 0.500).



(2)
The following is a DFT calculation (PBE) of a relaxed TmSnIr crystal.

As for the final energy: -0.240 Ha/atom. The value obtained for the volume is 123.9 Å³/cell.

The structure belongs to space group P6_3mc (No. 186); the cell edges are 4.6634, 4.6634 and 6.5787 Å and the angles 90.00°, 90.00° and 120.00°. The asymmetric unit holds Tm at (0.0000, 0.0000, 0.0000), Sn at (0.3333, 0.6667, 0.2383) and Ir at (0.3333, 0.6667, 0.7873).